This record from Alexandria describes a PBEsol-optimized structure of Li2CeAl. The functional is SCAN.

Formation energy in eV per formula unit: -0.379
D(E_F) in states/eV/f.u.: 5.8
Total moment in μB/f.u.: 0.994
SG: Fm-3m
Total DFT energy (no corrections) in eV per atom: -14.369

a b c (Å): 4.7726 4.7726 4.7726
angles (deg): 60.00 60.00 60.00
Fractional positions:
Al1 0.5000 0.5000 0.5000
Ce1 0.0000 0.0000 0.0000
Li1 0.2500 0.2500 0.2500
Li2 0.7500 0.7500 0.7500